(1)
Here is crystalline Sc2ZnPd4 at its relaxed geometry from Alexandria via LeMat-Bulk. Energies are from PBE-GGA.

Calculated values
DOS at the Fermi energy	7.1	states/eV per cell
formation enthalpy at 0 K	-657	meV/atom
relative energy among the computed polymorphs	0	meV/atom
E	-78.61	eV per cell

Cell lengths 7.5611, 4.6353, 7.2742 Å; angles 90.00, 100.77, 90.00 degrees
Last column: nearest neighbours and their distance in Å.
Space group C2/m (No. 12)
Unique sites:
1 Sc 0.2263 0.0000 0.2684 (multiplicity 4)  8 Pd 2.65-2.83
2 Zn 0.0000 0.5000 0.0000 (multiplicity 2)  8 Pd 2.62-2.75
3 Pd 0.0995 0.5000 0.3646 (multiplicity 4)  1 Zn 2.62, 4 Sc 2.65-2.78, 2 Pd 2.69-2.90
4 Pd 0.1393 0.0000 0.8814 (multiplicity 4)  3 Zn 2.70-2.75, 4 Sc 2.77-2.83, 2 Pd 2.90-2.96

(2)
Here is crystalline MgTcN3 at its relaxed geometry from Alexandria via LeMat-Bulk. Energies are from PBE-GGA.

Calculated values
raw formation energy	2.031	eV per atom
DOS at the Fermi energy	5.6	states/eV per cell
E	-26.78	eV per cell

Cell lengths 3.7700, 3.7700, 3.7700 Å; angles 90.00, 90.00, 90.00 degrees
Last column: nearest neighbours and their distance in Å.
Space group Pm-3m (No. 221)
Unique sites:
1 Mg 0.0000 0.0000 0.0000 (multiplicity 1)  6 N 1.88
2 Tc 0.5000 0.5000 0.5000 (multiplicity 1)  12 N 2.67
3 N 0.0000 0.0000 0.5000 (multiplicity 3)  2 Mg 1.88

(3)
Here is crystalline Cs2CaHfCl6 at its relaxed geometry from Alexandria via LeMat-Bulk. Energies are from PBE-GGA.

Calculated values
raw formation energy	-1.810	eV per atom
DOS at the Fermi energy	28.0	states/eV per cell
E	-171.38	eV per cell

Cell lengths 10.6508, 10.6508, 10.6508 Å; angles 90.00, 90.00, 90.00 degrees
Last column: nearest neighbours and their distance in Å.
Space group Fm-3m (No. 225)
Unique sites:
1 Cs 0.2500 0.2500 0.2500 (multiplicity 8)  12 Cl 3.77
2 Ca 0.0000 0.0000 0.0000 (multiplicity 4)  6 Cl 2.74
3 Hf 0.0000 0.0000 0.5000 (multiplicity 4)  6 Cl 2.58
4 Cl 0.0000 0.0000 0.2574 (multiplicity 24)  1 Hf 2.58, 1 Ca 2.74

(4)
Here is crystalline SrCrPd at its relaxed geometry from Alexandria via LeMat-Bulk. Energies are from PBE-GGA.

Calculated values
DOS at the Fermi energy	3.8	states/eV per cell
formation enthalpy at 0 K	0	meV/atom
relative energy among the computed polymorphs	0	meV/atom
E	-33.00	eV per cell

Cell lengths 4.4139, 4.4139, 7.4728 Å; angles 90.00, 90.00, 90.00 degrees
Last column: nearest neighbours and their distance in Å.
Space group P4/nmm (No. 129, origin choice 2)
Unique sites:
1 Sr 0.2500 0.2500 0.1634 (multiplicity 2)  5 Pd 3.26-3.38, 4 Cr 3.35
2 Cr 0.2500 0.7500 0.5000 (multiplicity 2)  4 Pd 2.71
3 Pd 0.2500 0.2500 0.7113 (multiplicity 2)  4 Cr 2.71

(5)
Here is crystalline NaLiU2S4 at its relaxed geometry from Alexandria via LeMat-Bulk. Energies are from PBE-GGA.

Calculated values
raw formation energy	-1.320	eV per atom
DOS at the Fermi energy	43.7	states/eV per cell
E	-211.53	eV per cell

Cell lengths 3.9156, 12.9590, 13.9452 Å; angles 90.00, 90.00, 90.00 degrees
Last column: nearest neighbours and their distance in Å.
Space group Cmcm (No. 63)
Unique sites:
1 Na 0.0000 0.1042 0.2500 (multiplicity 4)  6 S 2.93-3.17
2 Li 0.0000 0.1649 0.7500 (multiplicity 4)  4 S 2.35-2.36
3 U 0.0000 0.3668 0.0603 (multiplicity 8)  6 S 2.72-2.79
4 S 0.0000 0.0000 0.0000 (multiplicity 4)  4 U 2.74
5 S 0.0000 0.2719 0.6137 (multiplicity 8)  1 Li 2.35
6 S 0.0000 0.4362 0.2500 (multiplicity 4)  2 Li 2.36

(6)
Here is crystalline Ca3Pr2Ag4 at its relaxed geometry from Alexandria via LeMat-Bulk. Energies are from PBE-GGA.

Calculated values
DOS at the Fermi energy	18.1	states/eV per cell
formation enthalpy at 0 K	-206	meV/atom
E	-57.64	eV per cell

Cell lengths 9.1624, 5.2815, 10.2547 Å; angles 90.00, 90.04, 90.00 degrees
Last column: nearest neighbours and their distance in Å.
Space group C2/m (No. 12)
Unique sites:
1 Ca 0.0000 0.0000 0.0000 (multiplicity 2)  8 Ag 3.21-3.56
2 Ca 0.1661 0.5000 0.5887 (multiplicity 4)  4 Ag 3.12-3.21
3 Pr 0.1671 0.5000 0.2076 (multiplicity 4)  7 Ag 3.13-3.38
4 Ag 0.0009 0.0000 0.3474 (multiplicity 4)  3 Ca 3.12, 1 Ag 3.13, 3 Pr 3.37-3.38
5 Ag 0.1662 0.5000 0.9020 (multiplicity 4)  4 Pr 3.13-3.25, 4 Ca 3.21-3.22